Record 1
VASP calculation (PBE-GGA) on LaBeOs2 after structural relaxation.

Computed properties:
**Formation energy**: 0.4577 eV per atom
**Space group**: No. 71
**Total moment**: 0.000 μB per formula unit
**Electronic total energy**: -7.3206 eV/atom
**DOS(E_F)**: 0.7189 states/eV/atom

Unit cell a=5.2857 b=5.2857 c=5.2857 alpha=147.37 beta=122.89 gamma=67.34
Last column: nearest neighbours and their distance in Å.
Atoms (fractional coordinates):
La 0.0000 0.0000 0.0000  4 Be 2.93, 8 Os 2.94-3.14, 2 La 2.97
Be 0.5000 0.5000 0.0000  4 Os 2.38
Os 0.2885 0.7885 0.5000  2 Be 2.38
Os 0.7115 0.2115 0.5000  2 Be 2.38

Record 2
VASP calculation (PBE-GGA) on LaBe3Os after structural relaxation.

Computed properties:
**Formation energy**: -0.0913 eV per atom
**Space group**: No. 1
**Energy above the lowest structure with this stoichiometry**: 0.066 eV per atom
**Total moment**: 0.000 μB per formula unit
**Electronic total energy**: -5.5584 eV/atom
**DOS(E_F)**: 0.4716 states/eV/atom

Unit cell a=3.8870 b=5.8572 c=7.5751 alpha=106.80 beta=104.85 gamma=90.09
Last column: nearest neighbours and their distance in Å.
Atoms (fractional coordinates):
La 0.0000 0.0000 0.0000  7 Be 2.87-3.20, 3 Os 3.04-3.11
La 0.2740 0.5564 0.5450  4 Be 2.81-3.01, 2 Os 3.03-3.05
Be 0.0919 0.6282 0.1820  3 Be 2.15-2.24, 2 Os 2.31
Be 0.3792 0.2138 0.7564  4 Be 2.25-2.35, 2 Os 2.29-2.34
Be 0.6485 0.8043 0.2956  4 Be 2.24-2.46, 3 Os 2.35
Be 0.6548 0.1936 0.3087  2 Be 2.20-2.25, 1 Os 2.44
Be 0.7978 0.1394 0.5934  5 Be 2.20-2.46, 2 Os 2.29
Be 0.9424 0.4281 0.8828  4 Be 2.15-2.35
Os 0.2149 0.0151 0.4282  8 Be 2.29-2.49
Os 0.5385 0.4175 0.0758  7 Be 2.29-2.44

Record 3
VASP calculation (PBE-GGA) on LaBe3Os after structural relaxation.

Computed properties:
**Formation energy**: -0.1283 eV per atom
**Space group**: No. 74
**Energy above the lowest structure with this stoichiometry**: 0.029 eV per atom
**Total moment**: 0.000 μB per formula unit
**Electronic total energy**: -5.5954 eV/atom
**DOS(E_F)**: 0.5743 states/eV/atom

Unit cell a=6.0791 b=6.0791 c=6.0791 alpha=122.08 beta=91.45 gamma=116.33
Last column: nearest neighbours and their distance in Å.
Atoms (fractional coordinates):
La 0.3400 0.0900 0.2500  12 Be 3.10-3.22, 2 Os 3.38
La 0.6600 0.9100 0.7500  12 Be 3.10-3.22, 2 Os 3.38
Be 0.1579 0.4079 0.7500  2 Os 2.20, 4 Be 2.43
Be 0.1939 0.0000 0.6939  2 Os 2.23, 2 Be 2.43
Be 0.1939 0.5000 0.1939  2 Os 2.23, 2 Be 2.43
Be 0.8061 0.0000 0.3061  2 Os 2.23, 2 Be 2.43
Be 0.8061 0.5000 0.8061  2 Os 2.23, 2 Be 2.43
Be 0.8421 0.5921 0.2500  2 Os 2.20, 4 Be 2.43
Os 0.0000 0.5000 0.5000  6 Be 2.20-2.23
Os 0.5000 0.5000 0.0000  6 Be 2.20-2.23

Record 4
VASP calculation (PBE-GGA) on LaBeOs2 after structural relaxation.

Computed properties:
**Formation energy**: 0.7710 eV per atom
**Space group**: No. 35
**Total moment**: 0.008 μB per formula unit
**Electronic total energy**: -7.0073 eV/atom
**DOS(E_F)**: 1.3370 states/eV/atom

Unit cell a=2.8311 b=2.8311 c=9.3902 alpha=90.00 beta=90.00 gamma=117.09
Last column: nearest neighbours and their distance in Å.
Atoms (fractional coordinates):
La 0.0000 0.0000 0.0000  6 La 2.83-2.95, 2 Os 3.01, 2 Be 3.14
Be 0.5000 0.5000 0.7053  2 Os 2.33
Os 0.0000 0.0000 0.5131  2 Be 2.33
Os 0.5000 0.5000 0.2790  8 Os 2.65-2.95

Record 5
VASP calculation (PBE-GGA) on LaBeOs2 after structural relaxation.

Computed properties:
**Formation energy**: 0.3424 eV per atom
**Space group**: No. 123
**Total moment**: 0.000 μB per formula unit
**Electronic total energy**: -7.4359 eV/atom
**DOS(E_F)**: 1.0077 states/eV/atom

Unit cell a=2.9871 b=2.9871 c=7.3486 alpha=90.00 beta=90.00 gamma=90.00
Last column: nearest neighbours and their distance in Å.
Atoms (fractional coordinates):
La 0.0000 0.0000 0.0000  4 La 2.99, 8 Os 3.22
Be 0.0000 0.0000 0.5000  8 Os 2.45
Os 0.5000 0.5000 0.3312  4 Be 2.45, 1 Os 2.48
Os 0.5000 0.5000 0.6688  4 Be 2.45, 1 Os 2.48

Record 6
VASP calculation (PBE-GGA) on La2BeOs after structural relaxation.

Computed properties:
**Formation energy**: -0.0798 eV per atom
**Space group**: No. 38
**Total moment**: 0.000 μB per formula unit
**Electronic total energy**: -6.2825 eV/atom
**DOS(E_F)**: 1.0418 states/eV/atom

Unit cell a=4.0479 b=6.1262 c=6.1262 alpha=40.06 beta=90.00 gamma=90.00
Last column: nearest neighbours and their distance in Å.
Atoms (fractional coordinates):
La 0.0000 0.0000 0.0000  2 Os 3.02, 4 Be 3.10
La 0.5000 0.2731 0.2731  2 Be 2.97, 4 Os 3.07
Be 0.5000 0.5907 0.5907  2 Os 2.32
Os 0.0000 0.6887 0.6887  2 Be 2.32

Record 7
VASP calculation (PBE-GGA) on LaBe3Os after structural relaxation.

Computed properties:
**Formation energy**: 0.1132 eV per atom
**Space group**: No. 119
**Energy above the lowest structure with this stoichiometry**: 0.271 eV per atom
**Total moment**: 0.000 μB per formula unit
**Electronic total energy**: -5.3540 eV/atom
**DOS(E_F)**: 0.0908 states/eV/atom

Unit cell a=8.1346 b=8.1346 c=8.1346 alpha=144.72 beta=144.72 gamma=50.75
Last column: nearest neighbours and their distance in Å.
Atoms (fractional coordinates):
La 0.1423 0.1423 0.0000  6 Be 2.84-3.14, 2 Os 2.93
La 0.8577 0.8577 0.0000  6 Be 2.84-3.14, 2 Os 2.93
Be 0.1529 0.3670 0.7859  2 Be 2.11-2.30, 2 Os 2.22
Be 0.5097 0.0097 0.5000  2 Be 2.30, 2 Os 2.47
Be 0.5812 0.3670 0.2141  2 Be 2.11-2.30, 2 Os 2.22
Be 0.6330 0.4188 0.7859  2 Be 2.11-2.30, 2 Os 2.22
Be 0.6330 0.8471 0.2141  2 Be 2.11-2.30, 2 Os 2.22
Be 0.9903 0.4903 0.5000  2 Be 2.30, 2 Os 2.47
Os 0.5000 0.5000 0.0000  8 Be 2.22-2.47
Os 0.7500 0.2500 0.5000  4 Be 2.22

Record 8
VASP calculation (PBE-GGA) on La2BeOs after structural relaxation.

Computed properties:
**Formation energy**: 0.1930 eV per atom
**Space group**: No. 47
**Total moment**: 0.000 μB per formula unit
**Electronic total energy**: -6.0098 eV/atom
**DOS(E_F)**: 1.0091 states/eV/atom

Unit cell a=3.5679 b=3.5970 c=7.2547 alpha=90.00 beta=90.00 gamma=90.00
Last column: nearest neighbours and their distance in Å.
Atoms (fractional coordinates):
La 0.0000 0.0000 0.2437  4 Os 3.09, 4 Be 3.14
La 0.0000 0.0000 0.7563  4 Os 3.09, 4 Be 3.14
Be 0.5000 0.5000 0.5000  8 La 3.14
Os 0.5000 0.5000 0.0000  8 La 3.09